First-principles (GGA+U) data for a relaxed AlNi2RuO crystal, as listed in Alexandria.

**Density**: 5.02 g cm⁻³
**Total DFT energy (no corrections)**: -3.159 eV per atom
**Total magnetic moment**: 3.6 μB/f.u.

```
data_AlNi2RuO
_chemical_formula_sum 'Al1 Ni2 Ru1 O1'
_space_group_name_H-M_alt 'P 4/m m m'
_space_group_IT_number 123
_space_group_name_Hall '-P 4 2'
_cell_length_a 4.3842
_cell_length_b 4.3842
_cell_length_c 4.4966
_cell_angle_alpha 90.00
_cell_angle_beta 90.00
_cell_angle_gamma 90.00
loop_
_atom_site_label
_atom_site_fract_x
_atom_site_fract_y
_atom_site_fract_z
_atom_site_occupancy
Al1 0.0000 0.0000 0.0000 1
Ni1 0.0000 0.5000 0.0000 1
Ru1 0.0000 0.0000 0.5000 1
O1 0.5000 0.5000 0.5000 1
```

---

First-principles (GGA+U) data for a relaxed Al2NiSeO6 crystal, as listed in Alexandria.

**Density**: 4.24 g cm⁻³
**Total DFT energy (no corrections)**: -6.186 eV per atom
**Total magnetic moment**: 2.0 μB/f.u.

```
data_Al2NiSeO6
_chemical_formula_sum 'Al8 Ni4 Se4 O24'
_space_group_name_H-M_alt 'C 1 2/c 1'
_space_group_IT_number 15
_cell_length_a 9.8727
_cell_length_b 8.6821
_cell_length_c 5.4136
_cell_angle_alpha 90.00
_cell_angle_beta 103.75
_cell_angle_gamma 90.00
loop_
_space_group_symop_operation_xyz
'x,y,z'
'-x,-y,-z'
'-x,y,-z+1/2'
'x,-y,z+1/2'
'x+1/2,y+1/2,z'
'-x+1/2,-y+1/2,-z'
'-x+1/2,y+1/2,-z+1/2'
'x+1/2,-y+1/2,z+1/2'
loop_
_atom_site_label
_atom_site_fract_x
_atom_site_fract_y
_atom_site_fract_z
_atom_site_occupancy
Al1 0.1993 0.0937 0.2511 1
Ni1 0.0000 0.4067 0.2500 1
Se1 0.0000 0.2386 0.7500 1
O1 0.1051 0.3919 0.6489 1
O2 0.1170 0.2628 0.0986 1
O3 0.1591 0.0611 0.5418 1
```